Model P:
VASP calculation (PBE) on an optimized crystal structure of Na3AsF6.

Unit cell a=5.675 b=5.913 c=9.977 alpha=90.00 beta=123.95 gamma=90.00
Positions (direct):
Na 0.000 0.000 0.000
Na 0.000 0.500 0.500
Na 0.224 0.058 0.741
Na 0.224 0.442 0.241
Na 0.776 0.558 0.759
Na 0.776 0.942 0.259
As 0.500 0.000 0.500
As 0.500 0.500 0.000
F 0.145 0.181 0.443
F 0.145 0.319 0.943
F 0.246 0.712 0.420
F 0.246 0.788 0.920
F 0.398 0.070 0.268
F 0.398 0.430 0.768
F 0.602 0.570 0.232
F 0.602 0.930 0.732
F 0.754 0.212 0.080
F 0.754 0.288 0.580
F 0.855 0.681 0.057
F 0.855 0.819 0.557

total magnetic moment: 0.00 μB/atom
symmetry: P2_1/c (14)

Model Q:
VASP calculation (PBE) on an optimized crystal structure of Na3AsF6.

Unit cell a=6.005 b=6.005 c=6.005 alpha=60.00 beta=60.00 gamma=60.00
Positions (direct):
Na 0.000 0.000 0.000
Na 0.250 0.250 0.250
Na 0.750 0.750 0.750
As 0.500 0.500 0.500
F 0.259 0.259 0.741
F 0.259 0.741 0.259
F 0.259 0.741 0.741
F 0.741 0.259 0.259
F 0.741 0.259 0.741
F 0.741 0.741 0.259

total magnetic moment: 0.00 μB/atom
symmetry: Fm-3m (225)

It turns out model P is the most stable, with the second structure 10.4 kJ/mol of atoms higher.

Model P:
VASP calculation (PBE) on an optimized crystal structure of Na3AsF.

Unit cell a=4.610 b=4.610 c=4.610 alpha=90.00 beta=90.00 gamma=90.00
Positions (direct):
Na 0.000 0.000 0.500
Na 0.000 0.500 0.000
Na 0.500 0.000 0.000
As 0.500 0.500 0.500
F 0.000 0.000 0.000

total magnetic moment: 0.20 μB/atom
symmetry: Pm-3m (221)

Model Q:
VASP calculation (PBE) on an optimized crystal structure of Na3AsF.

Unit cell a=9.614 b=5.461 c=8.438 alpha=90.00 beta=107.04 gamma=90.00
Positions (direct):
Na 0.072 0.099 0.370
Na 0.072 0.401 0.870
Na 0.207 0.559 0.566
Na 0.207 0.941 0.066
Na 0.420 0.076 0.790
Na 0.420 0.424 0.290
Na 0.580 0.576 0.710
Na 0.580 0.924 0.210
Na 0.793 0.059 0.934
Na 0.793 0.441 0.434
Na 0.928 0.599 0.130
Na 0.928 0.901 0.630
As 0.370 0.572 0.927
As 0.370 0.928 0.427
As 0.630 0.072 0.573
As 0.630 0.428 0.073
F 0.016 0.225 0.097
F 0.016 0.275 0.597
F 0.984 0.725 0.403
F 0.984 0.775 0.903

total magnetic moment: 0.00 μB/atom
symmetry: P2_1/c (14)

It turns out model Q is the most stable, with the second structure 1.5 kJ/mol of atoms higher.

Model P:
VASP calculation (PBE) on an optimized crystal structure of NaAsOF2.

Unit cell a=3.851 b=3.851 c=4.320 alpha=90.00 beta=90.00 gamma=90.00
Positions (direct):
Na 0.000 0.000 0.000
As 0.500 0.500 0.500
O 0.000 0.000 0.500
F 0.000 0.500 0.000
F 0.500 0.000 0.000

total magnetic moment: 0.00 μB/atom
symmetry: P4/mmm (123)

Model Q:
VASP calculation (PBE) on an optimized crystal structure of NaAsOF2.

Unit cell a=4.343 b=4.343 c=3.927 alpha=90.00 beta=90.00 gamma=90.00
Positions (direct):
Na 0.000 0.000 0.000
As 0.500 0.500 0.500
O 0.500 0.500 0.000
F 0.000 0.500 0.500
F 0.500 0.000 0.500

total magnetic moment: 0.00 μB/atom
symmetry: P4/mmm (123)

It turns out model Q is the most stable, with the second structure 97.0 kJ/mol of atoms higher.

Model P:
VASP calculation (PBE) on an optimized crystal structure of RbNa2AsF6.

Unit cell a=6.577 b=6.577 c=6.577 alpha=60.00 beta=60.00 gamma=60.00
Positions (direct):
Rb 0.000 0.000 0.000
Na 0.250 0.250 0.250
Na 0.750 0.750 0.750
As 0.500 0.500 0.500
F 0.279 0.279 0.721
F 0.279 0.721 0.279
F 0.279 0.721 0.721
F 0.721 0.279 0.279
F 0.721 0.279 0.721
F 0.721 0.721 0.279

total magnetic moment: 0.00 μB/atom
symmetry: Fm-3m (225)

Model Q:
VASP calculation (PBE) on an optimized crystal structure of RbNa2AsF6.

Unit cell a=6.243 b=6.243 c=6.243 alpha=58.40 beta=58.40 gamma=58.40
Positions (direct):
Rb 0.000 0.000 0.000
Na 0.258 0.258 0.258
Na 0.785 0.785 0.785
As 0.471 0.471 0.471
F 0.122 0.602 0.444
F 0.194 0.530 0.864
F 0.444 0.122 0.602
F 0.530 0.864 0.194
F 0.602 0.444 0.122
F 0.864 0.194 0.530

total magnetic moment: 0.00 μB/atom
symmetry: R3 (146)

It turns out model Q is the most stable, with the second structure 22.6 kJ/mol of atoms higher.

Model P:
VASP calculation (PBE) on an optimized crystal structure of NbAsF3.

Unit cell a=4.384 b=4.384 c=4.384 alpha=90.00 beta=90.00 gamma=90.00
Positions (direct):
Nb 0.000 0.000 0.000
As 0.500 0.500 0.500
F 0.000 0.500 0.500
F 0.500 0.000 0.500
F 0.500 0.500 0.000

total magnetic moment: 0.81 μB/atom
symmetry: Pm-3m (221)

Model Q:
VASP calculation (PBE) on an optimized crystal structure of NbAsF3.

Unit cell a=4.257 b=4.257 c=4.257 alpha=90.00 beta=90.00 gamma=90.00
Positions (direct):
Nb 0.000 0.000 0.000
As 0.500 0.500 0.500
F 0.000 0.000 0.500
F 0.000 0.500 0.000
F 0.500 0.000 0.000

total magnetic moment: 0.49 μB/atom
symmetry: Pm-3m (221)

It turns out model Q is the most stable, with the second structure 83.3 kJ/mol of atoms higher.

Model P:
VASP calculation (PBE) on an optimized crystal structure of NbAsF2.

Unit cell a=8.273 b=8.273 c=8.273 alpha=153.31 beta=153.31 gamma=38.10
Positions (direct):
Nb 0.000 0.000 0.000
Nb 0.750 0.250 0.500
As 0.250 0.750 0.500
As 0.500 0.500 0.000
F 0.053 0.625 0.928
F 0.375 0.303 0.428
F 0.697 0.125 0.072
F 0.875 0.947 0.572

total magnetic moment: 0.00 μB/atom
symmetry: I-42d (122)

Model Q:
VASP calculation (PBE) on an optimized crystal structure of NbAsF2.

Unit cell a=10.813 b=10.813 c=10.813 alpha=15.06 beta=15.06 gamma=15.06
Positions (direct):
Nb 0.000 0.000 0.000
As 0.500 0.500 0.500
F 0.381 0.381 0.381
F 0.619 0.619 0.619

total magnetic moment: 0.14 μB/atom
symmetry: R-3m (166)

Model R:
VASP calculation (PBE) on an optimized crystal structure of NbAsF2.

Unit cell a=4.212 b=4.212 c=4.212 alpha=60.00 beta=60.00 gamma=60.00
Positions (direct):
Nb 0.000 0.000 0.000
As 0.500 0.500 0.500
F 0.250 0.250 0.250
F 0.750 0.750 0.750

total magnetic moment: 0.00 μB/atom
symmetry: Fm-3m (225)

It turns out model Q is the most stable, with the second structure 15.1 kJ/mol of atoms higher.